1.
DFT (PBE) results for crystalline Ga3HgW at its relaxed geometry.

abc: 5.0045 5.0045 5.0045
angles: 90.00 90.00 90.00
Closest atoms and distances in Å follow each position.
Sites, in units of the cell vectors:
Ga 0.0000 0.0000 0.5000  2 W 2.50
Ga 0.0000 0.5000 0.0000  2 W 2.50
Ga 0.5000 0.0000 0.0000  2 W 2.50
Hg 0.5000 0.5000 0.5000  12 Ga 3.54
W 0.0000 0.0000 0.0000  6 Ga 2.50

## Properties
Electronic total energy ... -19.581 eV/f.u.
Offset from the most stable computed form ... 0 meV/atom
Formation energy from the elements ... 0.55 eV per atom

2.
DFT (PBE) results for crystalline ZrAg3 at its relaxed geometry.

abc: 2.8975 4.9812 5.2649
angles: 90.00 90.00 90.00
Closest atoms and distances in Å follow each position.
Sites, in units of the cell vectors:
Zr 0.0000 0.0000 0.0000  2 Zr 2.90, 10 Ag 2.99-3.04
Ag 0.0000 0.5000 0.6746  10 Ag 2.90-3.04, 2 Zr 3.02
Ag 0.5000 0.0000 0.4969  8 Ag 2.90-3.03, 4 Zr 2.99-3.02
Ag 0.5000 0.5000 0.1821  8 Ag 2.90-3.04, 4 Zr 3.04

## Properties
Electronic total energy ... -16.889 eV/f.u.
Formation energy from the elements ... 0.05 eV per atom